No. 1
FeSi2Ir: optimized geometry, PBE.

## Properties
Density: 10.3 g cm⁻³
Final energy: -29.48 eV per formula unit

Cell lengths 5.5761, 6.2476, 2.8084 Å; angles 90.00, 90.00, 90.00 degrees
Sites, in units of the cell vectors:
1 Fe 0.0000 0.0000 0.0000
2 Fe 0.5000 0.5000 0.0000
3 Si 0.2500 0.2500 0.5000
4 Si 0.2500 0.7500 0.5000
5 Si 0.7500 0.2500 0.5000
6 Si 0.7500 0.7500 0.5000
7 Ir 0.0000 0.5000 0.0000
8 Ir 0.5000 0.0000 0.0000

***

No. 2
Tl2VSn: optimized geometry, PBE.

## Properties
Density: 9.1 g cm⁻³
DFT formation energy: 2.21 eV/f.u.
Energy above the most stable polymorph in this dataset: 0.0243 eV/atom

Cell lengths 8.5359, 8.5359, 5.8143 Å; angles 90.00, 90.00, 90.00 degrees
Sites, in units of the cell vectors:
1 Tl 0.2088 0.2500 0.1250
2 Tl 0.2500 0.7088 0.3750
3 Tl 0.2500 0.7912 0.8750
4 Tl 0.2912 0.2500 0.6250
5 Tl 0.7088 0.7500 0.6250
6 Tl 0.7500 0.2088 0.8750
7 Tl 0.7500 0.2912 0.3750
8 Tl 0.7912 0.7500 0.1250
9 V 0.0000 0.0000 0.0000
10 V 0.0000 0.5000 0.2500
11 V 0.5000 0.0000 0.7500
12 V 0.5000 0.5000 0.5000
13 Sn 0.0000 0.0000 0.5000
14 Sn 0.0000 0.5000 0.7500
15 Sn 0.5000 0.0000 0.2500
16 Sn 0.5000 0.5000 0.0000

***

No. 3
BaLa5Tl3: optimized geometry, PBE.

## Properties
Density: 7.8 g cm⁻³
DFT formation energy: -2.45 eV/f.u.

Cell lengths 9.8921, 9.8921, 7.2598 Å; angles 90.00, 90.00, 120.00 degrees
Sites, in units of the cell vectors:
1 Ba 0.0000 0.0000 0.0000
2 Ba 0.0000 0.0000 0.5000
3 La 0.0000 0.3398 0.2500
4 La 0.0000 0.6602 0.7500
5 La 0.3333 0.6667 0.0000
6 La 0.3333 0.6667 0.5000
7 La 0.3398 0.0000 0.2500
8 La 0.3398 0.3398 0.7500
9 La 0.6602 0.0000 0.7500
10 La 0.6602 0.6602 0.2500
11 La 0.6667 0.3333 0.0000
12 La 0.6667 0.3333 0.5000
13 Tl 0.0000 0.3337 0.7500
14 Tl 0.0000 0.6663 0.2500
15 Tl 0.3337 0.0000 0.7500
16 Tl 0.3337 0.3337 0.2500
17 Tl 0.6663 0.0000 0.2500
18 Tl 0.6663 0.6663 0.7500

***

No. 4
CuOs2Se: optimized geometry, PBE.

## Properties
Density: 14.7 g cm⁻³
Final energy: -26.89 eV per formula unit

Cell lengths 6.1846, 6.1846, 6.1846 Å; angles 90.00, 90.00, 90.00 degrees
Sites, in units of the cell vectors:
1 Cu 0.0000 0.0000 0.0000
2 Cu 0.0000 0.5000 0.5000
3 Cu 0.5000 0.0000 0.5000
4 Cu 0.5000 0.5000 0.0000
5 Os 0.0000 0.0000 0.5000
6 Os 0.0000 0.5000 0.0000
7 Os 0.2500 0.2500 0.2500
8 Os 0.2500 0.7500 0.7500
9 Os 0.5000 0.0000 0.0000
10 Os 0.5000 0.5000 0.5000
11 Os 0.7500 0.2500 0.7500
12 Os 0.7500 0.7500 0.2500
13 Se 0.2500 0.2500 0.7500
14 Se 0.2500 0.7500 0.2500
15 Se 0.7500 0.2500 0.2500
16 Se 0.7500 0.7500 0.7500

***

No. 5
TbNdHo2: optimized geometry, PBE.

## Properties
Density: 8.2 g cm⁻³
DFT formation energy: 0.08 eV/f.u.
Energy above the most stable polymorph in this dataset: 0.0230 eV/atom

Cell lengths 5.0574, 5.0574, 5.0363 Å; angles 90.00, 90.00, 90.00 degrees
Sites, in units of the cell vectors:
1 Tb 0.0000 0.0000 0.0000
2 Nd 0.5000 0.5000 0.0000
3 Ho 0.0000 0.5000 0.5000
4 Ho 0.5000 0.0000 0.5000

***

No. 6
TcSbAs2: optimized geometry, PBE.

## Properties
Density: 7.7 g cm⁻³
Final energy: -22.86 eV per formula unit

Cell lengths 3.6545, 4.7551, 4.6460 Å; angles 90.00, 100.75, 90.00 degrees
Sites, in units of the cell vectors:
1 Tc 0.0000 0.0000 0.0000
2 Sb 0.5000 0.0000 0.5000
3 As 0.2104 0.5000 0.8169
4 As 0.7896 0.5000 0.1831